The following is a PBE-GGA calculation of TiN2F2 after structural relaxation, from Alexandria.

The calculation puts the total energy at -4.81 eV/atom. For the excess energy over the best structure of this formula in the dataset, the calculation gives 1335 meV per atom. For the density of states at the Fermi level, the calculation gives 0.336 states/eV/atom. The crystal system is tetragonal. The magnetic moment is 0.182 μB per formula unit.

The structure belongs to space group P4/mmm (No. 123); the cell edges are 3.4792, 3.4792 and 4.0314 Å and the angles 90.00°, 90.00° and 90.00°. The asymmetric unit holds Ti at (0.0000, 0.0000, 0.0000), N at (0.0000, 0.5000, 0.5000), F at (0.5000, 0.5000, 0.0000) and F at (0.5000, 0.5000, 0.5000).

The following is a PBE-GGA calculation of Dy2Be3AlCu12 after structural relaxation, from Alexandria.

The calculation puts the formation energy at 0.2892 eV per atom. The calculation puts the total energy at -3.78 eV/atom. For the density of states at the Fermi level, the calculation gives 0.276 states/eV/atom. The crystal system is trigonal. The magnetic moment is 0.000 μB per formula unit.

The structure belongs to space group R-3m (No. 166, hexagonal axes); the cell edges are 7.5067, 7.5067 and 17.3938 Å and the angles 90.00°, 90.00° and 120.00°. The asymmetric unit holds Dy at (0.0000, 0.0000, 0.0997), Be at (0.0000, 0.5000, 0.0000), Al at (0.0000, 0.0000, 0.5000), Cu at (0.0185, 0.5093, 0.8775) and Cu at (0.0413, 0.5206, 0.3566).

The following is a PBE-GGA calculation of GaIrPd after structural relaxation, from Alexandria.

The calculation puts the formation energy at -0.2714 eV per atom. The calculation puts the total energy at -5.96 eV/atom. For the excess energy over the best structure of this formula in the dataset, the calculation gives 0 meV per atom. For the density of states at the Fermi level, the calculation gives 1.040 states/eV/atom. The crystal system is tetragonal. The magnetic moment is 0.000 μB per formula unit.

The structure belongs to space group I4mm (No. 107); the cell edges are 2.9306, 2.9306 and 10.2873 Å and the angles 90.00°, 90.00° and 90.00°. The asymmetric unit holds Ga at (0.0000, 0.0000, 0.0000), Ir at (0.0000, 0.0000, 0.6482) and Pd at (0.0000, 0.0000, 0.3408).